1.
First-principles (PBE) data for a geometry-optimized Co3BTe structure, as listed in the Alexandria database.

V in A^3/atom: 12.287
Excess energy over the best structure of this formula in the dataset in meV per atom: 0.0
Symmetry: Pm-3m, No. 221
Raw formation energy in meV/atom: 145

Lattice parameters (Å, degrees): 3.9458 3.9458 3.9458 90.00 90.00 90.00
Sites, in units of the cell vectors:
Co (0.0000, 0.0000, 0.5000)
Co (0.0000, 0.5000, 0.0000)
Co (0.5000, 0.0000, 0.0000)
B (0.0000, 0.0000, 0.0000)
Te (0.5000, 0.5000, 0.5000)



2.
First-principles (PBE) data for a geometry-optimized Co3BTe structure, as listed in the Alexandria database.

V in A^3/atom: 20.332
Excess energy over the best structure of this formula in the dataset in meV per atom: 1801.0
Symmetry: Pm-3m, No. 221
Raw formation energy in meV/atom: 1946

Lattice parameters (Å, degrees): 4.6671 4.6671 4.6671 90.00 90.00 90.00
Sites, in units of the cell vectors:
Co (0.0000, 0.0000, 0.5000)
Co (0.0000, 0.5000, 0.0000)
Co (0.5000, 0.0000, 0.0000)
B (0.5000, 0.5000, 0.5000)
Te (0.0000, 0.0000, 0.0000)



3.
First-principles (PBE) data for a geometry-optimized CoB2Te structure, as listed in the Alexandria database.

V in A^3/atom: 14.641
Symmetry: I-42d, No. 122
Raw formation energy in meV/atom: 718

Lattice parameters (Å, degrees): 5.9439 5.9439 5.9439 130.96 130.96 71.87
Sites, in units of the cell vectors:
Co (0.0000, 0.0000, 0.0000)
Co (0.7500, 0.2500, 0.5000)
B (0.0587, 0.6250, 0.9337)
B (0.3750, 0.3087, 0.4337)
B (0.6913, 0.1250, 0.0663)
B (0.8750, 0.9413, 0.5663)
Te (0.2500, 0.7500, 0.5000)
Te (0.5000, 0.5000, 0.0000)